A plane-wave DFT calculation with PBE was carried out for LiSmScSn after structural relaxation.

Results
Total moment: 0.00 μB/f.u.
VASP energy: -4.6487 eV/atom

a b c (Å): 5.1297 5.1297 5.1297
angles (deg): 60.00 60.00 60.00
Fractional positions:
Sc1 0.0000 0.0000 0.0000
Sn1 0.7500 0.7500 0.7500
Sm1 0.5000 0.5000 0.5000
Li1 0.2500 0.2500 0.2500

A plane-wave DFT calculation with PBE was carried out for Li2SmSc2Sn2 after structural relaxation.

Results
Total moment: 0.63 μB/f.u.
VASP energy: -4.6425 eV/atom

a b c (Å): 4.7074 4.7074 8.8790
angles (deg): 74.63 74.63 60.00
Fractional positions:
Li1 0.5759 0.5759 0.2723
Li2 0.4241 0.4241 0.7277
Sm1 0.0000 0.0000 0.0000
Sc1 0.1335 0.1335 0.5995
Sc2 0.8665 0.8665 0.4005
Sn1 0.7431 0.7431 0.7708
Sn2 0.2569 0.2569 0.2292

A plane-wave DFT calculation with PBE was carried out for LiTbSmSc after structural relaxation.

Results
Total moment: 0.00 μB/f.u.
VASP energy: -4.2519 eV/atom

a b c (Å): 5.3795 5.3795 5.3795
angles (deg): 60.00 60.00 60.00
Fractional positions:
Sc1 0.2500 0.2500 0.2500
Tb1 0.0000 0.0000 0.0000
Sm1 0.5000 0.5000 0.5000
Li1 0.7500 0.7500 0.7500